Record 1
{
  "formula": "TeCl",
  "functional": "PBE",
  "state": "relaxed",
  "lattice_angstrom": [[5.199, 0.000, 0.000], [0.000, 5.598, 0.000], [-2.189, 0.000, 5.292]],
  "species": ["Te", "Te", "Cl", "Cl"],
  "frac_coords": [[0.041, 0.250, 0.099], [0.959, 0.750, 0.901], [0.414, 0.750, 0.792], [0.586, 0.250, 0.208]],
  "final_energy_ev_per_cell": -10.8
}

=====

Record 2
{
  "formula": "TeCl",
  "functional": "PBE",
  "state": "relaxed",
  "lattice_angstrom": [[12.539, 0.000, 0.000], [-6.270, 10.859, 0.000], [0.000, 0.000, 3.245]],
  "species": ["Te", "Te", "Te", "Te", "Te", "Te", "Cl", "Cl", "Cl", "Cl", "Cl", "Cl"],
  "frac_coords": [[0.125, 0.840, 0.250], [0.160, 0.285, 0.250], [0.285, 0.125, 0.750], [0.715, 0.875, 0.250], [0.840, 0.715, 0.750], [0.875, 0.160, 0.750], [0.141, 0.464, 0.250], [0.323, 0.859, 0.250], [0.464, 0.323, 0.750], [0.536, 0.677, 0.250], [0.677, 0.141, 0.750], [0.859, 0.536, 0.750]],
  "final_energy_ev_per_cell": -31.4
}

=====

Record 3
{
  "formula": "TeCl4",
  "functional": "PBE",
  "state": "relaxed",
  "lattice_angstrom": [[9.200, -5.582, 0.000], [9.200, 5.582, 0.000], [-7.433, 0.000, 14.741]],
  "species": ["Te", "Te", "Te", "Te", "Te", "Te", "Te", "Te", "Cl", "Cl", "Cl", "Cl", "Cl", "Cl", "Cl", "Cl", "Cl", "Cl", "Cl", "Cl", "Cl", "Cl", "Cl", "Cl", "Cl", "Cl", "Cl", "Cl", "Cl", "Cl", "Cl", "Cl", "Cl", "Cl", "Cl", "Cl", "Cl", "Cl", "Cl", "Cl"],
  "frac_coords": [[0.238, 0.759, 0.617], [0.241, 0.762, 0.883], [0.351, 0.384, 0.185], [0.384, 0.351, 0.685], [0.616, 0.649, 0.315], [0.649, 0.616, 0.815], [0.759, 0.238, 0.117], [0.762, 0.241, 0.383], [0.026, 0.970, 0.627], [0.030, 0.974, 0.873], [0.135, 0.625, 0.691], [0.140, 0.642, 0.468], [0.144, 0.649, 0.929], [0.147, 0.605, 0.192], [0.258, 0.280, 0.031], [0.266, 0.276, 0.243], [0.276, 0.266, 0.743], [0.280, 0.258, 0.531], [0.351, 0.856, 0.571], [0.358, 0.860, 0.032], [0.375, 0.865, 0.809], [0.395, 0.853, 0.308], [0.497, 0.501, 0.131], [0.499, 0.503, 0.369], [0.501, 0.497, 0.631], [0.503, 0.499, 0.869], [0.605, 0.147, 0.692], [0.625, 0.135, 0.191], [0.642, 0.140, 0.968], [0.649, 0.144, 0.429], [0.720, 0.742, 0.469], [0.724, 0.734, 0.257], [0.734, 0.724, 0.757], [0.742, 0.720, 0.969], [0.853, 0.395, 0.808], [0.856, 0.351, 0.071], [0.860, 0.358, 0.532], [0.865, 0.375, 0.309], [0.970, 0.026, 0.127], [0.974, 0.030, 0.373]],
  "de_polymorph_ev_per_atom": 0.000
}

=====

Record 4
{
  "formula": "TeCl4",
  "functional": "PBE",
  "state": "relaxed",
  "lattice_angstrom": [[7.022, 0.000, 0.000], [0.000, 7.960, 0.000], [-2.020, 0.000, 6.735]],
  "species": ["Te", "Te", "Cl", "Cl", "Cl", "Cl", "Cl", "Cl", "Cl", "Cl"],
  "frac_coords": [[0.000, 0.139, 0.250], [0.000, 0.861, 0.750], [0.214, 0.340, 0.449], [0.214, 0.660, 0.949], [0.224, 0.127, 0.018], [0.224, 0.873, 0.518], [0.776, 0.127, 0.482], [0.776, 0.873, 0.982], [0.786, 0.340, 0.051], [0.786, 0.660, 0.551]],
  "de_polymorph_ev_per_atom": 0.008
}

=====

Record 5
{
  "formula": "TeCl",
  "functional": "PBE",
  "state": "relaxed",
  "lattice_angstrom": [[4.517, 0.000, 0.000], [0.000, 4.517, 0.000], [0.000, 0.000, 7.295]],
  "species": ["Te", "Te", "Cl", "Cl"],
  "frac_coords": [[0.250, 0.250, 0.029], [0.750, 0.750, 0.971], [0.250, 0.250, 0.701], [0.750, 0.750, 0.299]],
  "final_energy_ev_per_cell": -10.7
}

=====

Record 6
{
  "formula": "TeCl2",
  "functional": "PBE",
  "state": "relaxed",
  "lattice_angstrom": [[0.000, 4.152, 4.152], [4.152, 0.000, 4.152], [4.152, 4.152, 0.000]],
  "species": ["Te", "Te", "Cl", "Cl", "Cl", "Cl"],
  "frac_coords": [[0.125, 0.125, 0.125], [0.875, 0.875, 0.875], [0.000, 0.500, 0.500], [0.500, 0.000, 0.500], [0.500, 0.500, 0.000], [0.500, 0.500, 0.500]],
  "final_energy_ev_per_cell": -9.7
}

=====

Record 7
{
  "formula": "TeCl2",
  "functional": "PBE",
  "state": "relaxed",
  "lattice_angstrom": [[-1.665, 3.336, 4.108], [1.665, -3.336, 4.108], [1.665, 3.336, -4.108]],
  "species": ["Te", "Cl", "Cl"],
  "frac_coords": [[0.000, 0.000, 0.000], [0.299, 0.299, 0.000], [0.701, 0.701, 0.000]],
  "final_energy_ev_per_cell": -7.4
}

=====

Record 8
{
  "formula": "TeCl",
  "functional": "PBE",
  "state": "relaxed",
  "lattice_angstrom": [[3.729, 0.000, 0.000], [0.000, 14.114, 0.000], [0.000, 0.000, 8.598]],
  "species": ["Te", "Te", "Te", "Te", "Te", "Te", "Cl", "Cl", "Cl", "Cl", "Cl", "Cl"],
  "frac_coords": [[0.250, 0.073, 0.044], [0.250, 0.427, 0.044], [0.250, 0.750, 0.196], [0.750, 0.250, 0.804], [0.750, 0.573, 0.956], [0.750, 0.927, 0.956], [0.250, 0.250, 0.184], [0.250, 0.630, 0.388], [0.250, 0.870, 0.388], [0.750, 0.130, 0.612], [0.750, 0.370, 0.612], [0.750, 0.750, 0.816]],
  "final_energy_ev_per_cell": -31.8
}

=====

Record 9
{
  "formula": "TeCl",
  "functional": "PBE",
  "state": "relaxed",
  "lattice_angstrom": [[-1.909, 2.295, 7.426], [1.909, -2.295, 7.426], [1.909, 2.295, -7.426]],
  "species": ["Te", "Te", "Cl", "Cl"],
  "frac_coords": [[0.432, 0.182, 0.250], [0.568, 0.818, 0.750], [0.139, 0.389, 0.750], [0.861, 0.611, 0.250]],
  "final_energy_ev_per_cell": -10.3
}

=====

Record 10
{
  "formula": "TeCl2",
  "functional": "PBE",
  "state": "relaxed",
  "lattice_angstrom": [[2.461, -10.049, 0.000], [2.461, 10.049, 0.000], [0.000, 0.000, 3.447]],
  "species": ["Te", "Te", "Cl", "Cl", "Cl", "Cl"],
  "frac_coords": [[0.072, 0.928, 0.750], [0.928, 0.072, 0.250], [0.179, 0.821, 0.250], [0.430, 0.570, 0.750], [0.570, 0.430, 0.250], [0.821, 0.179, 0.750]],
  "final_energy_ev_per_cell": -13.6
}

=====

Record 11
{
  "formula": "TeCl",
  "functional": "PBE",
  "state": "relaxed",
  "lattice_angstrom": [[8.309, 0.000, 0.000], [0.000, 8.309, 0.000], [0.000, 0.000, 8.309]],
  "species": ["Te", "Te", "Te", "Te", "Te", "Te", "Cl", "Cl", "Cl", "Cl", "Cl", "Cl"],
  "frac_coords": [[0.000, 0.250, 0.500], [0.000, 0.750, 0.500], [0.250, 0.500, 0.000], [0.500, 0.000, 0.250], [0.500, 0.000, 0.750], [0.750, 0.500, 0.000], [0.000, 0.500, 0.250], [0.000, 0.500, 0.750], [0.250, 0.000, 0.500], [0.500, 0.250, 0.000], [0.500, 0.750, 0.000], [0.750, 0.000, 0.500]],
  "final_energy_ev_per_cell": -22.8
}

=====

Record 12
{
  "formula": "TeCl2",
  "functional": "PBE",
  "state": "relaxed",
  "lattice_angstrom": [[8.500, 0.000, 0.000], [0.000, 8.500, 0.000], [0.000, 0.000, 3.788]],
  "species": ["Te", "Te", "Cl", "Cl", "Cl", "Cl"],
  "frac_coords": [[0.000, 0.000, 0.000], [0.500, 0.500, 0.500], [0.154, 0.154, 0.500], [0.346, 0.654, 0.000], [0.654, 0.346, 0.000], [0.846, 0.846, 0.500]],
  "final_energy_ev_per_cell": -15.5
}

=====

no.,total magnetization (μB per cell)
1,0.0
2,0.0
3,0.0
4,0.0
5,0.0
6,1.8
7,0.0
8,0.0
9,0.0
10,0.0
11,0.0
12,0.0